## NbGeP2O (PBE-GGA)

Data for a relaxed structure of NbGeP2O.

Unit cell a=4.7780 b=4.7780 c=3.5380 alpha=90.00 beta=90.00 gamma=90.00
Closest atoms and distances in Å follow each position.
Element x y z (fractional)
Nb: 0.0000 0.0000 0.0000  8 P 2.97
Ge: 0.5000 0.5000 0.5000  2 O 1.77
P: 0.0000 0.5000 0.5000  2 Ge 2.39
P: 0.5000 0.0000 0.5000  2 Ge 2.39
O: 0.5000 0.5000 0.0000  2 Ge 1.77

ΔE_f (raw): 0.30 eV per atom
Crystal system: tetragonal
Calculated total energy: -28.9 eV per cell
Distance to the lowest polymorph of the same formula: 610 meV per atom
N(E_F): 0.978 states/eV/atom

## Rb3NbGe2O8 (PBE-GGA)

Data for a relaxed structure of Rb3NbGe2O8.

Unit cell a=5.7383 b=5.7383 c=8.4600 alpha=90.00 beta=90.00 gamma=120.00
Closest atoms and distances in Å follow each position.
Element x y z (fractional)
Rb: 0.0000 0.0000 0.0000  12 O 3.39-3.47
Rb: 0.3333 0.6667 0.7668  1 O 2.70
Rb: 0.6667 0.3333 0.2332  1 O 2.70
Nb: 0.0000 0.0000 0.5000  6 O 2.01
Ge: 0.3333 0.6667 0.2878  4 O 1.71-1.79
Ge: 0.6667 0.3333 0.7122  4 O 1.71-1.79
O: 0.1645 0.3290 0.3622  1 Ge 1.79
O: 0.1645 0.8355 0.3622  1 Ge 1.79
O: 0.3290 0.1645 0.6378  1 Ge 1.79
O: 0.3333 0.6667 0.0856  1 Ge 1.71
O: 0.6667 0.3333 0.9144  1 Ge 1.71
O: 0.6710 0.8355 0.3622  1 Ge 1.79
O: 0.8355 0.1645 0.6378  1 Ge 1.79
O: 0.8355 0.6710 0.6378  1 Ge 1.79

ΔE_f (raw): -1.94 eV per atom
Crystal system: trigonal
Calculated total energy: -89.0 eV per cell
N(E_F): 0.000 states/eV/atom

## RbNbGeO5 (PBE-GGA)

Data for a relaxed structure of RbNbGeO5.

Unit cell a=5.9936 b=5.9936 c=7.6795 alpha=105.63 beta=105.63 gamma=105.10
Closest atoms and distances in Å follow each position.
Element x y z (fractional)
Rb: 0.1705 0.8295 0.7500  7 O 2.67-2.83
Rb: 0.8295 0.1705 0.2500  7 O 2.67-2.83
Nb: 0.5000 0.5000 0.0000  6 O 1.98-2.05
Nb: 0.5000 0.5000 0.5000  6 O 1.98-2.05
Ge: 0.1907 0.8093 0.2500  4 O 1.79
Ge: 0.8093 0.1907 0.7500  4 O 1.79
O: 0.1309 0.2823 0.8938  1 Ge 1.79
O: 0.2202 0.6196 0.3922  1 Ge 1.79
O: 0.2823 0.1309 0.3938  1 Ge 1.79
O: 0.3804 0.7798 0.1078  1 Ge 1.79
O: 0.4510 0.5490 0.7500  2 Nb 1.98
O: 0.5490 0.4510 0.2500  2 Nb 1.98
O: 0.6196 0.2202 0.8922  1 Ge 1.79
O: 0.7177 0.8691 0.6062  1 Ge 1.79
O: 0.7798 0.3804 0.6078  1 Ge 1.79
O: 0.8691 0.7177 0.1062  1 Ge 1.79

ΔE_f (raw): -2.09 eV per atom
Crystal system: monoclinic
Calculated total energy: -114.3 eV per cell
Distance to the lowest polymorph of the same formula: 79 meV per atom
N(E_F): 0.000 states/eV/atom

## RbNbGeO5 (PBE-GGA)

Data for a relaxed structure of RbNbGeO5.

Unit cell a=7.5647 b=10.5584 c=20.9943 alpha=90.00 beta=90.00 gamma=90.00
Closest atoms and distances in Å follow each position.
Element x y z (fractional)
Rb: 0.1785 0.1207 0.4857  6 O 2.98-3.30
Rb: 0.2462 0.1743 0.8396  5 O 2.99-3.34
Rb: 0.2479 0.8812 0.6484  7 O 2.98-3.22
Rb: 0.2521 0.1188 0.1484  7 O 2.98-3.22
Rb: 0.2538 0.8257 0.3396  5 O 2.99-3.34
Rb: 0.3215 0.8793 0.9857  6 O 2.98-3.30
Rb: 0.6785 0.3793 0.5143  6 O 2.98-3.30
Rb: 0.7462 0.3257 0.1604  5 O 2.99-3.34
Rb: 0.7479 0.6188 0.3516  7 O 2.98-3.22
Rb: 0.7521 0.3812 0.8516  7 O 2.98-3.22
Rb: 0.7538 0.6743 0.6604  5 O 2.99-3.34
Rb: 0.8215 0.6207 0.0143  6 O 2.98-3.30
Nb: 0.0157 0.7697 0.5003  5 O 1.90-2.06
Nb: 0.2210 0.4866 0.4253  6 O 1.91-2.13
Nb: 0.2321 0.5199 0.6007  6 O 1.93-2.09
Nb: 0.2679 0.4801 0.1007  6 O 1.93-2.09
Nb: 0.2790 0.5134 0.9253  6 O 1.91-2.13
Nb: 0.4843 0.2303 0.0003  5 O 1.90-2.06
Nb: 0.5157 0.7303 0.4997  5 O 1.90-2.06
Nb: 0.7210 0.0134 0.5747  6 O 1.91-2.13
Nb: 0.7321 0.9801 0.3993  6 O 1.93-2.09
Nb: 0.7679 0.0199 0.8993  6 O 1.93-2.09
Nb: 0.7790 0.9866 0.0747  6 O 1.91-2.13
Nb: 0.9843 0.2697 0.9997  5 O 1.90-2.06
Ge: 0.0133 0.7523 0.8529  4 O 1.74-1.79
Ge: 0.0964 0.7798 0.1488  4 O 1.73-1.80
Ge: 0.2136 0.3819 0.2689  4 O 1.73-1.80
Ge: 0.2864 0.6181 0.7689  4 O 1.73-1.80
Ge: 0.4036 0.2202 0.6488  4 O 1.73-1.80
Ge: 0.4867 0.2477 0.3529  4 O 1.74-1.79
Ge: 0.5133 0.7477 0.1471  4 O 1.74-1.79
Ge: 0.5964 0.7202 0.8512  4 O 1.73-1.80
Ge: 0.7136 0.1181 0.7311  4 O 1.73-1.80
Ge: 0.7864 0.8819 0.2311  4 O 1.73-1.80
Ge: 0.9036 0.2798 0.3512  4 O 1.73-1.80
Ge: 0.9867 0.2523 0.6471  4 O 1.74-1.79
O: 0.0019 0.8104 0.2258  2 Ge 1.80
O: 0.0045 0.8793 0.0910  1 Ge 1.75
O: 0.0262 0.4114 0.6307  1 Ge 1.74
O: 0.0604 0.3832 0.0690  2 Nb 1.97-1.99
O: 0.0698 0.4016 0.9373  2 Nb 1.99-2.02
O: 0.0695 0.6331 0.4336  2 Nb 1.93-2.05
O: 0.0699 0.6516 0.5759  2 Nb 1.93-2.06
O: 0.0879 0.6227 0.1253  1 Ge 1.73
O: 0.1249 0.6787 0.9154  1 Ge 1.74
O: 0.1334 0.7470 0.7797  2 Ge 1.78-1.80
O: 0.1836 0.1626 0.6623  2 Ge 1.79
O: 0.2159 0.4415 0.5136  2 Nb 1.91-2.01
O: 0.2356 0.4096 0.1879  1 Ge 1.73
O: 0.2409 0.1849 0.9988  1 Nb 1.90
O: 0.2439 0.5032 0.3244  1 Ge 1.75
O: 0.2561 0.4968 0.8244  1 Ge 1.75
O: 0.2591 0.8151 0.4988  1 Nb 1.90
O: 0.2644 0.5904 0.6879  1 Ge 1.73
O: 0.2841 0.5585 0.0136  2 Nb 1.91-2.01
O: 0.3164 0.8374 0.1623  2 Ge 1.79
O: 0.3666 0.2530 0.2797  2 Ge 1.78-1.80
O: 0.3751 0.3213 0.4154  1 Ge 1.74
O: 0.4121 0.3773 0.6253  1 Ge 1.73
O: 0.4301 0.3484 0.0759  2 Nb 1.93-2.06
O: 0.4305 0.3669 0.9336  2 Nb 1.93-2.05
O: 0.4302 0.5984 0.4373  2 Nb 1.99-2.02
O: 0.4396 0.6168 0.5690  2 Nb 1.97-1.99
O: 0.4738 0.5886 0.1307  1 Ge 1.74
O: 0.4955 0.1207 0.5910  1 Ge 1.75
O: 0.4981 0.1896 0.7258  2 Ge 1.80
O: 0.5019 0.6896 0.7742  2 Ge 1.80
O: 0.5045 0.6207 0.9090  1 Ge 1.75
O: 0.5262 0.0886 0.3693  1 Ge 1.74
O: 0.5604 0.1168 0.9310  2 Nb 1.97-1.99
O: 0.5698 0.0984 0.0627  2 Nb 1.99-2.02
O: 0.5699 0.8484 0.4241  2 Nb 1.93-2.06
O: 0.5695 0.8669 0.5664  2 Nb 1.93-2.05
O: 0.5879 0.8773 0.8747  1 Ge 1.73
O: 0.6249 0.8213 0.0846  1 Ge 1.74
O: 0.6334 0.7530 0.2203  2 Ge 1.78-1.80
O: 0.6836 0.3374 0.3377  2 Ge 1.79
O: 0.7159 0.0585 0.4864  2 Nb 1.91-2.01
O: 0.7356 0.0904 0.8121  1 Ge 1.73
O: 0.7409 0.3151 0.0012  1 Nb 1.90
O: 0.7439 0.9968 0.6756  1 Ge 1.75
O: 0.7561 0.0032 0.1756  1 Ge 1.75
O: 0.7591 0.6849 0.5012  1 Nb 1.90
O: 0.7644 0.9096 0.3121  1 Ge 1.73
O: 0.7841 0.9415 0.9864  2 Nb 1.91-2.01
O: 0.8164 0.6626 0.8377  2 Ge 1.79
O: 0.8666 0.2470 0.7203  2 Ge 1.78-1.80
O: 0.8751 0.1787 0.5846  1 Ge 1.74
O: 0.9121 0.1227 0.3747  1 Ge 1.73
O: 0.9305 0.1331 0.0664  2 Nb 1.93-2.05
O: 0.9301 0.1516 0.9241  2 Nb 1.93-2.06
O: 0.9302 0.9016 0.5627  2 Nb 1.99-2.02
O: 0.9396 0.8832 0.4310  2 Nb 1.97-1.99
O: 0.9738 0.9114 0.8693  1 Ge 1.74
O: 0.9955 0.3793 0.4090  1 Ge 1.75
O: 0.9981 0.3104 0.2742  2 Ge 1.80

ΔE_f (raw): -2.17 eV per atom
Crystal system: orthorhombic
Calculated total energy: -693.3 eV per cell
Distance to the lowest polymorph of the same formula: 0 meV per atom
N(E_F): 0.000 states/eV/atom

## NbGe2RhO (PBE-GGA)

Data for a relaxed structure of NbGe2RhO.

Unit cell a=5.0043 b=5.0043 c=4.6739 alpha=90.00 beta=90.00 gamma=90.00
Closest atoms and distances in Å follow each position.
Element x y z (fractional)
Nb: 0.0000 0.0000 0.0000  2 Rh 2.34, 4 Ge 2.50
Ge: 0.0000 0.5000 0.0000  2 Nb 2.50
Ge: 0.5000 0.0000 0.0000  2 Nb 2.50
Rh: 0.0000 0.0000 0.5000  2 Nb 2.34
O: 0.5000 0.5000 0.5000  8 Ge 3.42, 4 Rh 3.54

ΔE_f (raw): 1.23 eV per atom
Crystal system: tetragonal
Calculated total energy: -25.5 eV per cell
N(E_F): 1.337 states/eV/atom

## ScNbGeO6 (PBE-GGA)

Data for a relaxed structure of ScNbGeO6.

Unit cell a=4.7207 b=4.7207 c=9.2397 alpha=90.00 beta=90.00 gamma=90.00
Closest atoms and distances in Å follow each position.
Element x y z (fractional)
Sc: 0.0000 0.0000 0.0000  6 O 2.08-2.17
Sc: 0.5000 0.5000 0.5000  6 O 2.08-2.17
Nb: 0.0000 0.0000 0.3323  6 O 1.96-2.06
Nb: 0.5000 0.5000 0.8323  6 O 1.96-2.06
Ge: 0.0000 0.0000 0.6702  6 O 1.91-1.96
Ge: 0.5000 0.5000 0.1702  6 O 1.91-1.96
O: 0.1839 0.1839 0.5118  1 Ge 1.91, 1 Nb 2.06, 1 Sc 2.11
O: 0.1944 0.1944 0.8236  1 Ge 1.92, 1 Nb 2.04, 1 Sc 2.08
O: 0.2070 0.2070 0.1815  1 Ge 1.96, 1 Nb 1.96, 1 Sc 2.17
O: 0.2930 0.7070 0.6815  1 Ge 1.96, 1 Nb 1.96, 1 Sc 2.17
O: 0.3056 0.6944 0.3236  1 Ge 1.92, 1 Nb 2.04, 1 Sc 2.08
O: 0.3161 0.6839 0.0118  1 Ge 1.91, 1 Nb 2.06, 1 Sc 2.11
O: 0.6839 0.3161 0.0118  1 Ge 1.91, 1 Nb 2.06, 1 Sc 2.11
O: 0.6944 0.3056 0.3236  1 Ge 1.92, 1 Nb 2.04, 1 Sc 2.08
O: 0.7070 0.2930 0.6815  1 Ge 1.96, 1 Nb 1.96, 1 Sc 2.17
O: 0.7930 0.7930 0.1815  1 Ge 1.96, 1 Nb 1.96, 1 Sc 2.17
O: 0.8056 0.8056 0.8236  1 Ge 1.92, 1 Nb 2.04, 1 Sc 2.08
O: 0.8161 0.8161 0.5118  1 Ge 1.91, 1 Nb 2.06, 1 Sc 2.11

ΔE_f (raw): -2.49 eV per atom
Crystal system: tetragonal
Calculated total energy: -146.3 eV per cell
N(E_F): 0.000 states/eV/atom